(1)
{"formula": "Li2NbN2", "functional": "PBE", "state": "optimized geometry", "m_tot_mub_per_fu": 0.000, "e_tot_ha_per_atom": -0.250, "sg": "Cmcm (63)", "raw_formation_energy_ev_per_atom": -0.68, "volume_a3_per_atom": 11.43, "lattice_angstrom": [[-2.647, -1.218, 1.277], [3.404, 0.880, 3.934], [-2.639, 6.587, 0.811]], "species": ["Li", "Li", "Li", "Li", "Nb", "Nb", "N", "N", "N", "N"], "frac_coords": [[0.635, 0.270, 0.968], [0.365, 0.730, 0.826], [0.365, 0.730, 0.468], [0.635, 0.270, 0.326], [0.908, 0.816, 0.147], [0.092, 0.184, 0.647], [0.282, 0.565, 0.147], [0.000, 0.000, 0.897], [0.718, 0.435, 0.647], [0.000, 0.000, 0.397]]}

=====

(2)
{"formula": "Li5NbN3", "functional": "PBE", "state": "optimized geometry", "m_tot_mub_per_fu": 0.000, "e_tot_ha_per_atom": -0.205, "sg": "C2/c (15)", "raw_formation_energy_ev_per_atom": -0.62, "volume_a3_per_atom": 10.22, "lattice_angstrom": [[-0.284, -0.244, -5.005], [2.261, -4.995, 2.632], [-6.945, -0.478, 0.418]], "species": ["Li", "Li", "Li", "Li", "Li", "Li", "Li", "Li", "Li", "Li", "Nb", "Nb", "N", "N", "N", "N", "N", "N"], "frac_coords": [[0.269, 0.000, 0.750], [0.599, 0.667, 0.943], [0.910, 0.365, 0.112], [0.401, 0.333, 0.057], [0.545, 0.635, 0.388], [0.731, 0.000, 0.250], [0.068, 0.667, 0.443], [0.932, 0.333, 0.557], [0.455, 0.365, 0.612], [0.090, 0.635, 0.888], [0.764, 0.000, 0.750], [0.236, 0.000, 0.250], [0.000, 0.000, 0.000], [0.619, 0.307, 0.325], [0.000, 0.000, 0.500], [0.381, 0.693, 0.675], [0.688, 0.307, 0.825], [0.312, 0.693, 0.175]]}

=====

(3)
{"formula": "LiNb2N3", "functional": "PBE", "state": "optimized geometry", "m_tot_mub_per_fu": 0.000, "e_tot_ha_per_atom": -0.325, "sg": "Immm (71)", "raw_formation_energy_ev_per_atom": -1.01, "volume_a3_per_atom": 10.31, "lattice_angstrom": [[-1.203, -2.819, 0.418], [3.948, -1.630, 0.364], [-1.497, 2.953, 4.213]], "species": ["Li", "Nb", "Nb", "N", "N", "N"], "frac_coords": [[0.500, 0.000, 0.000], [0.162, 0.661, 0.322], [0.838, 0.339, 0.678], [0.500, 0.500, 0.000], [0.167, 0.168, 0.337], [0.833, 0.832, 0.663]]}

=====

(4)
{"formula": "Li3NbN", "functional": "PBE", "state": "optimized geometry", "m_tot_mub_per_fu": 5.431, "e_tot_ha_per_atom": -0.094, "sg": "Pm-3m (221)", "de_polymorph_mev_per_atom": 1665, "raw_formation_energy_ev_per_atom": 2.28, "volume_a3_per_atom": 25.20, "lattice_angstrom": [[-2.077, 2.424, -3.865], [-4.546, -1.459, 1.529], [-0.386, 4.139, 2.802]], "species": ["Nb", "Li", "Li", "Li", "N"], "frac_coords": [[0.000, 0.000, 0.000], [0.000, 0.500, 0.000], [0.000, 0.000, 0.500], [0.500, 0.000, 0.000], [0.500, 0.500, 0.500]]}

=====

(5)
{"formula": "Li3NbN", "functional": "PBE", "state": "optimized geometry", "m_tot_mub_per_fu": 2.227, "e_tot_ha_per_atom": -0.155, "sg": "Pm-3m (221)", "de_polymorph_mev_per_atom": 0, "raw_formation_energy_ev_per_atom": 0.61, "volume_a3_per_atom": 12.40, "lattice_angstrom": [[3.958, 0.000, 0.000], [0.000, 3.958, 0.000], [0.000, 0.000, 3.958]], "species": ["Nb", "Li", "Li", "Li", "N"], "frac_coords": [[0.500, 0.500, 0.500], [0.000, 0.500, 0.000], [0.000, 0.000, 0.500], [0.500, 0.000, 0.000], [0.000, 0.000, 0.000]]}

=====

(6)
{"formula": "LiNb2N", "functional": "PBE", "state": "optimized geometry", "m_tot_mub_per_fu": 0.000, "e_tot_ha_per_atom": -0.268, "sg": "I-42d (122)", "raw_formation_energy_ev_per_atom": 0.29, "volume_a3_per_atom": 18.44, "lattice_angstrom": [[-0.829, 5.286, 0.128], [-0.323, -0.180, 5.339], [4.503, 3.341, 3.067]], "species": ["Nb", "Nb", "Nb", "Nb", "Li", "Li", "N", "N"], "frac_coords": [[0.742, 0.125, 0.250], [0.008, 0.625, 0.250], [0.375, 0.258, 0.750], [0.875, 0.992, 0.750], [0.500, 0.500, 0.000], [0.250, 0.750, 0.500], [0.000, 0.000, 0.000], [0.750, 0.250, 0.500]]}

=====

(7)
{"formula": "LiNp2Nb3N6", "functional": "PBE", "state": "optimized geometry", "m_tot_mub_per_fu": 4.953, "e_tot_ha_per_atom": -0.371, "sg": "C2/m (12)", "raw_formation_energy_ev_per_atom": -1.11, "volume_a3_per_atom": 11.80, "lattice_angstrom": [[-3.165, -0.316, 0.468], [1.124, -4.432, 4.611], [1.475, 6.281, 3.176]], "species": ["Li", "Np", "Np", "Nb", "Nb", "Nb", "N", "N", "N", "N", "N", "N"], "frac_coords": [[0.500, 0.000, 0.000], [0.840, 0.682, 0.679], [0.160, 0.318, 0.321], [0.500, 0.500, 0.000], [0.840, 0.176, 0.680], [0.160, 0.824, 0.320], [0.336, 0.935, 0.672], [0.664, 0.587, 0.328], [0.664, 0.065, 0.328], [0.997, 0.259, 0.994], [0.003, 0.741, 0.006], [0.336, 0.413, 0.672]]}

=====

(8)
{"formula": "Li2NpNbN4", "functional": "PBE", "state": "optimized geometry", "m_tot_mub_per_fu": 1.903, "e_tot_ha_per_atom": -0.309, "sg": "P2/m (10)", "raw_formation_energy_ev_per_atom": -0.90, "volume_a3_per_atom": 11.71, "lattice_angstrom": [[-3.159, 0.595, 0.608], [-1.141, -0.710, -5.235], [-1.193, -5.405, -0.907]], "species": ["Li", "Li", "Np", "Nb", "N", "N", "N", "N"], "frac_coords": [[0.000, 0.000, 0.000], [0.500, 0.000, 0.500], [0.000, 0.500, 0.500], [0.500, 0.500, 0.000], [0.000, 0.715, 0.765], [0.000, 0.285, 0.234], [0.500, 0.718, 0.254], [0.500, 0.282, 0.746]]}